[1]
First-principles (PBE-GGA) data for crystalline Li3Zr3BeS8 at its relaxed geometry, as listed in Alexandria via LeMat-Bulk.

The structure in extended XYZ format:
```
15
Lattice="3.615 2.087 6.188 -3.615 2.087 6.188 0.000 -4.174 6.188" Properties=species:S:1:pos:R:3 pbc="T T T"
Li -1.807 -1.044 6.188
Li -1.807 1.044 12.375
Li 0.000 2.087 6.188
Zr -3.615 0.000 9.281
Zr -1.807 1.044 3.094
Zr 1.807 1.044 3.094
Be 0.000 0.000 9.281
S 0.000 0.000 4.651
S -1.699 -0.981 10.691
S 0.000 -1.962 7.871
S -1.699 0.981 7.871
S 1.699 -0.981 10.691
S 0.000 1.962 10.691
S 1.699 0.981 7.871
S 0.000 0.000 13.912
```

Summary:
- E_form (uncorrected): -130 kJ per mole of atoms
- Crystal system: trigonal
- Spin magnetization: 0.00 μB per formula unit

[2]
First-principles (PBE-GGA) data for crystalline LiBe2Sb at its relaxed geometry, as listed in Alexandria via LeMat-Bulk.

The structure in extended XYZ format:
```
16
Lattice="6.178 0.000 0.000 0.000 6.178 0.000 0.000 0.000 6.178" Properties=species:S:1:pos:R:3 pbc="T T T"
Li 0.000 0.000 0.000
Li 0.000 3.089 3.089
Li 3.089 0.000 3.089
Li 3.089 3.089 0.000
Be 0.000 0.000 3.089
Be 0.000 3.089 0.000
Be 1.544 1.544 4.633
Be 1.544 4.633 1.544
Be 3.089 0.000 0.000
Be 3.089 3.089 3.089
Be 4.633 1.544 1.544
Be 4.633 4.633 4.633
Sb 1.544 1.544 1.544
Sb 1.544 4.633 4.633
Sb 4.633 1.544 4.633
Sb 4.633 4.633 1.544
```

Summary:
- E_form (uncorrected): 39 kJ per mole of atoms
- Crystal system: cubic
- Spin magnetization: 0.00 μB per formula unit

[3]
First-principles (PBE-GGA) data for crystalline LiBe2Sb at its relaxed geometry, as listed in Alexandria via LeMat-Bulk.

The structure in extended XYZ format:
```
4
Lattice="3.089 0.000 0.000 0.000 3.089 0.000 0.000 0.000 6.459" Properties=species:S:1:pos:R:3 pbc="T T T"
Li 0.000 0.000 0.000
Be 0.000 0.000 4.078
Be 1.544 1.544 4.685
Sb 1.544 1.544 2.069
```

Summary:
- E_form (uncorrected): 31 kJ per mole of atoms
- Crystal system: tetragonal
- Spin magnetization: 0.00 μB per formula unit

[4]
First-principles (PBE-GGA) data for crystalline Li2BeSb2 at its relaxed geometry, as listed in Alexandria via LeMat-Bulk.

The structure in extended XYZ format:
```
10
Lattice="7.850 0.000 0.000 0.000 7.850 0.000 0.000 0.000 3.145" Properties=species:S:1:pos:R:3 pbc="T T T"
Li 0.887 3.038 0.000
Li 3.038 6.963 0.000
Li 4.812 0.887 0.000
Li 6.963 4.812 0.000
Be 0.000 0.000 0.000
Be 3.925 3.925 0.000
Sb 1.490 5.415 1.573
Sb 2.435 1.490 1.573
Sb 5.415 6.360 1.573
Sb 6.360 2.435 1.573
```

Summary:
- E_form (uncorrected): 14 kJ per mole of atoms
- Crystal system: tetragonal
- Spin magnetization: 0.00 μB per formula unit
- Offset from the most stable computed form: 0.277 eV/atom

[5]
First-principles (PBE-GGA) data for crystalline LiBe2Sb at its relaxed geometry, as listed in Alexandria via LeMat-Bulk.

The structure in extended XYZ format:
```
12
Lattice="3.140 0.000 0.000 -1.570 2.719 0.000 0.000 0.000 23.826" Properties=species:S:1:pos:R:3 pbc="T T T"
Li 0.000 0.000 0.000
Li 0.000 1.813 15.884
Li 1.570 0.906 7.942
Be 0.000 0.000 5.946
Be 0.000 0.000 17.880
Be 0.000 1.813 9.938
Be 0.000 1.813 21.830
Be 1.570 0.906 1.996
Be 1.570 0.906 13.888
Sb 0.000 0.000 11.913
Sb 0.000 1.813 3.971
Sb 1.570 0.906 19.855
```

Summary:
- E_form (uncorrected): 67 kJ per mole of atoms
- Crystal system: trigonal
- Spin magnetization: 0.00 μB per formula unit

[6]
First-principles (PBE-GGA) data for crystalline LiBe2Sb at its relaxed geometry, as listed in Alexandria via LeMat-Bulk.

The structure in extended XYZ format:
```
8
Lattice="6.486 0.000 0.000 0.000 3.745 0.000 -0.056 0.000 5.941" Properties=species:S:1:pos:R:3 pbc="T T T"
Li 0.000 0.000 0.000
Li 3.243 1.873 0.000
Be 1.025 1.873 4.317
Be 2.105 0.000 4.317
Be 4.267 0.000 4.317
Be 5.348 1.873 4.317
Sb 3.186 1.873 2.911
Sb 6.428 0.000 2.911
```

Summary:
- E_form (uncorrected): 12 kJ per mole of atoms
- Crystal system: monoclinic
- Spin magnetization: 0.00 μB per formula unit